Computed, not measured: a relaxed CeAl4Au2 crystal at the PBE-GGA level of DFT.

Properties
Its formation energy is -0.565 eV per atom.

Structure (CIF):
```
data_CeAl4Au2
_cell_length_a 4.426
_cell_length_b 6.841
_cell_length_c 17.428
_cell_angle_alpha 90.00
_cell_angle_beta 90.00
_cell_angle_gamma 90.00
_space_group_name_H-M_alt 'P 1'
_space_group_IT_number 1
loop_
_space_group_symop_operation_xyz
'x,y,z'
loop_
_atom_site_label
_atom_site_fract_x
_atom_site_fract_y
_atom_site_fract_z
_atom_site_occupancy
Au1 0.250 0.753 0.536 1
Au2 0.750 0.247 0.464 1
Au3 0.750 0.253 0.964 1
Au4 0.250 0.747 0.036 1
Au5 0.250 0.974 0.783 1
Au6 0.750 0.026 0.217 1
Au7 0.750 0.474 0.717 1
Au8 0.250 0.526 0.283 1
Al1 0.250 0.277 0.690 1
Al2 0.750 0.723 0.310 1
Al3 0.750 0.777 0.810 1
Al4 0.250 0.223 0.190 1
Al5 0.250 0.679 0.685 1
Al6 0.750 0.321 0.315 1
Al7 0.750 0.179 0.815 1
Al8 0.250 0.821 0.185 1
Al9 0.250 0.162 0.536 1
Al10 0.750 0.838 0.464 1
Al11 0.750 0.662 0.964 1
Al12 0.250 0.338 0.036 1
Al13 0.250 0.482 0.431 1
Al14 0.750 0.518 0.569 1
Al15 0.750 0.982 0.069 1
Al16 0.250 0.018 0.931 1
Ce1 0.750 0.992 0.638 1
Ce2 0.250 0.008 0.362 1
Ce3 0.250 0.492 0.862 1
Ce4 0.750 0.508 0.138 1
```

---

Computed, not measured: a relaxed BC5 crystal at the PBE-GGA level of DFT.

Properties
Its formation energy is 0.229 eV per atom. Its energy above the most stable polymorph in this dataset is 20 meV/atom.

Structure (CIF):
```
data_BC5
_cell_length_a 2.556
_cell_length_b 2.556
_cell_length_c 12.770
_cell_angle_alpha 90.00
_cell_angle_beta 90.00
_cell_angle_gamma 120.00
_space_group_name_H-M_alt 'P 1'
_space_group_IT_number 1
loop_
_space_group_symop_operation_xyz
'x,y,z'
loop_
_atom_site_label
_atom_site_fract_x
_atom_site_fract_y
_atom_site_fract_z
_atom_site_occupancy
B1 0.000 0.000 0.882 1
B2 0.333 0.667 0.659 1
C1 0.667 0.333 0.826 1
C2 0.667 0.333 0.716 1
C3 0.667 0.333 0.332 1
C4 0.000 0.000 0.371 1
C5 0.000 0.000 0.494 1
C6 0.333 0.667 0.533 1
C7 0.333 0.667 0.170 1
C8 0.667 0.333 0.210 1
C9 0.000 0.000 0.008 1
C10 0.333 0.667 0.048 1
```

---

Computed, not measured: a relaxed ScTa2Ge2 crystal at the PBE-GGA level of DFT.

Properties
Its formation energy is -0.422 eV per atom.

Structure (CIF):
```
data_ScTa2Ge2
_cell_length_a 7.038
_cell_length_b 7.038
_cell_length_c 3.520
_cell_angle_alpha 90.00
_cell_angle_beta 90.00
_cell_angle_gamma 90.00
_space_group_name_H-M_alt 'P 1'
_space_group_IT_number 1
loop_
_space_group_symop_operation_xyz
'x,y,z'
loop_
_atom_site_label
_atom_site_fract_x
_atom_site_fract_y
_atom_site_fract_z
_atom_site_occupancy
Sc1 0.000 0.000 0.000 1
Sc2 0.500 0.500 0.000 1
Ge1 0.367 0.867 0.000 1
Ge2 0.867 0.633 0.000 1
Ge3 0.633 0.133 0.000 1
Ge4 0.133 0.367 0.000 1
Ta1 0.164 0.664 0.500 1
Ta2 0.664 0.836 0.500 1
Ta3 0.836 0.336 0.500 1
Ta4 0.336 0.164 0.500 1
```

---

Computed, not measured: a relaxed Ac3La2Se8 crystal at the PBE-GGA level of DFT.

Structure (CIF):
```
data_Ac3La2Se8
_cell_length_a 5.088
_cell_length_b 10.781
_cell_length_c 9.230
_cell_angle_alpha 125.76
_cell_angle_beta 90.00
_cell_angle_gamma 90.00
_space_group_name_H-M_alt 'P 1'
_space_group_IT_number 1
loop_
_space_group_symop_operation_xyz
'x,y,z'
loop_
_atom_site_label
_atom_site_fract_x
_atom_site_fract_y
_atom_site_fract_z
_atom_site_occupancy
Ac1 0.500 0.000 0.000 1
Ac2 0.000 0.286 0.000 1
Ac3 0.000 0.714 0.000 1
La1 0.500 0.264 0.529 1
La2 0.500 0.736 0.471 1
Se1 0.000 0.631 0.263 1
Se2 0.000 0.369 0.737 1
Se3 0.000 0.122 0.245 1
Se4 0.000 0.878 0.755 1
Se5 0.500 0.635 0.744 1
Se6 0.500 0.109 0.744 1
Se7 0.500 0.891 0.256 1
Se8 0.500 0.365 0.256 1
```

---

Computed, not measured: a relaxed CaSmTi4O12 crystal at the PBE-GGA level of DFT.

Structure (CIF):
```
data_CaSmTi4O12
_cell_length_a 5.451
_cell_length_b 5.451
_cell_length_c 7.773
_cell_angle_alpha 90.00
_cell_angle_beta 90.00
_cell_angle_gamma 89.36
_space_group_name_H-M_alt 'P 1'
_space_group_IT_number 1
loop_
_space_group_symop_operation_xyz
'x,y,z'
loop_
_atom_site_label
_atom_site_fract_x
_atom_site_fract_y
_atom_site_fract_z
_atom_site_occupancy
Ca1 0.529 0.471 0.500 1
Sm1 0.942 0.058 0.000 1
Ti1 0.012 0.520 0.744 1
Ti2 0.012 0.520 0.256 1
Ti3 0.480 0.988 0.256 1
Ti4 0.480 0.988 0.744 1
O1 0.796 0.793 0.767 1
O2 0.207 0.204 0.767 1
O3 0.207 0.204 0.233 1
O4 0.796 0.793 0.233 1
O5 0.303 0.697 0.715 1
O6 0.724 0.276 0.765 1
O7 0.724 0.276 0.235 1
O8 0.303 0.697 0.285 1
O9 0.016 0.510 0.000 1
O10 0.964 0.488 0.500 1
O11 0.490 0.984 0.000 1
O12 0.512 0.036 0.500 1
```

---

Computed, not measured: a relaxed Ba3Li5F12 crystal at the PBE-GGA level of DFT.

Structure (CIF):
```
data_Ba3Li5F12
_cell_length_a 11.591
_cell_length_b 11.591
_cell_length_c 11.591
_cell_angle_alpha 109.47
_cell_angle_beta 109.47
_cell_angle_gamma 109.47
_space_group_name_H-M_alt 'P 1'
_space_group_IT_number 1
loop_
_space_group_symop_operation_xyz
'x,y,z'
loop_
_atom_site_label
_atom_site_fract_x
_atom_site_fract_y
_atom_site_fract_z
_atom_site_occupancy
Ba1 0.750 0.375 0.125 1
Ba2 0.875 0.750 0.125 1
Ba3 0.375 0.750 0.625 1
Ba4 0.250 0.125 0.375 1
Ba5 0.875 0.125 0.250 1
Ba6 0.375 0.625 0.250 1
Ba7 0.625 0.375 0.750 1
Ba8 0.125 0.875 0.750 1
Ba9 0.750 0.875 0.625 1
Ba10 0.625 0.250 0.375 1
Ba11 0.125 0.250 0.875 1
Ba12 0.250 0.625 0.875 1
Li1 0.125 0.375 0.250 1
Li2 0.000 0.500 0.000 1
Li3 0.000 0.000 0.000 1
Li4 0.375 0.250 0.125 1
Li5 0.500 0.000 0.500 1
Li6 0.500 0.500 0.000 1
Li7 0.125 0.750 0.375 1
Li8 0.750 0.125 0.875 1
Li9 0.750 0.625 0.375 1
Li10 0.375 0.125 0.750 1
Li11 0.625 0.875 0.250 1
Li12 0.500 0.500 0.500 1
Li13 0.500 0.000 0.000 1
Li14 0.000 0.000 0.500 1
Li15 0.250 0.375 0.625 1
Li16 0.250 0.875 0.125 1
Li17 0.000 0.500 0.500 1
Li18 0.875 0.250 0.625 1
Li19 0.625 0.750 0.875 1
Li20 0.875 0.625 0.750 1
F1 0.700 0.115 0.017 1
F2 0.317 0.517 0.401 1
F3 0.983 0.385 0.300 1
F4 0.517 0.200 0.115 1
F5 0.584 0.700 0.683 1
F6 0.983 0.599 0.183 1
F7 0.317 0.800 0.416 1
F8 0.099 0.916 0.115 1
F9 0.599 0.983 0.683 1
F10 0.700 0.584 0.183 1
F11 0.800 0.483 0.385 1
F12 0.817 0.901 0.017 1
F13 0.115 0.700 0.517 1
F14 0.385 0.401 0.084 1
F15 0.084 0.901 0.385 1
F16 0.416 0.115 0.599 1
F17 0.084 0.183 0.200 1
F18 0.483 0.683 0.099 1
F19 0.817 0.916 0.300 1
F20 0.115 0.416 0.099 1
F21 0.385 0.983 0.800 1
F22 0.599 0.615 0.416 1
F23 0.901 0.817 0.517 1
F24 0.800 0.317 0.916 1
F25 0.401 0.385 0.584 1
F26 0.099 0.183 0.483 1
F27 0.200 0.683 0.084 1
F28 0.183 0.084 0.700 1
F29 0.615 0.017 0.200 1
F30 0.885 0.584 0.901 1
F31 0.517 0.317 0.901 1
F32 0.584 0.885 0.401 1
F33 0.916 0.817 0.800 1
F34 0.916 0.099 0.615 1
F35 0.885 0.300 0.483 1
F36 0.183 0.099 0.983 1
F37 0.615 0.599 0.916 1
F38 0.401 0.017 0.317 1
F39 0.300 0.416 0.817 1
F40 0.200 0.517 0.615 1
F41 0.901 0.084 0.885 1
F42 0.683 0.200 0.584 1
F43 0.483 0.800 0.885 1
F44 0.017 0.401 0.817 1
F45 0.416 0.300 0.317 1
F46 0.017 0.615 0.700 1
F47 0.683 0.483 0.599 1
F48 0.300 0.885 0.983 1
```

---

Computed, not measured: a relaxed Mn2Cu2Ru crystal at the PBE-GGA level of DFT.

Properties
Its formation energy is 0.578 eV per atom. Its energy above the most stable polymorph in this dataset is 0 meV/atom.

Structure (CIF):
```
data_Mn2Cu2Ru
_cell_length_a 6.640
_cell_length_b 6.640
_cell_length_c 2.743
_cell_angle_alpha 90.00
_cell_angle_beta 90.00
_cell_angle_gamma 90.00
_space_group_name_H-M_alt 'P 1'
_space_group_IT_number 1
loop_
_space_group_symop_operation_xyz
'x,y,z'
loop_
_atom_site_label
_atom_site_fract_x
_atom_site_fract_y
_atom_site_fract_z
_atom_site_occupancy
Ru1 0.000 0.000 0.000 1
Ru2 0.500 0.500 0.000 1
Mn1 0.169 0.669 0.500 1
Mn2 0.669 0.831 0.500 1
Mn3 0.831 0.331 0.500 1
Mn4 0.331 0.169 0.500 1
Cu1 0.371 0.871 0.000 1
Cu2 0.871 0.629 0.000 1
Cu3 0.629 0.129 0.000 1
Cu4 0.129 0.371 0.000 1
```

---

Computed, not measured: a relaxed Rb2NaCo2 crystal at the PBE-GGA level of DFT.

Properties
Its formation energy is 0.962 eV per atom. Its energy above the most stable polymorph in this dataset is 72 meV/atom.

Structure (CIF):
```
data_Rb2NaCo2
_cell_length_a 6.835
_cell_length_b 6.835
_cell_length_c 6.418
_cell_angle_alpha 57.83
_cell_angle_beta 57.83
_cell_angle_gamma 90.00
_space_group_name_H-M_alt 'P 1'
_space_group_IT_number 1
loop_
_space_group_symop_operation_xyz
'x,y,z'
loop_
_atom_site_label
_atom_site_fract_x
_atom_site_fract_y
_atom_site_fract_z
_atom_site_occupancy
Na1 0.000 0.000 0.000 1
Co1 0.378 0.378 0.243 1
Co2 0.622 0.622 0.757 1
Rb1 0.750 0.250 0.500 1
Rb2 0.250 0.750 0.500 1
```

---

Number 1: total energy -125.67 eV for the cell shown. Number 2: total energy -102.85 eV for the cell shown. Number 3: total energy -82.76 eV for the cell shown. Number 4: total energy -73.34 eV for the cell shown. Number 5: total energy -146.12 eV for the cell shown. Number 6: total energy -402.35 eV for the cell shown. Number 7: total energy -65.83 eV for the cell shown. Number 8: total energy -12.66 eV for the cell shown.